Record 1
## RbSF3 (PBE)

Data for an optimized crystal structure of RbSF3.

Cell: 4.371 4.371 4.371 Å, 90.00 90.00 90.00°
Element x y z (fractional)
Rb 0.000 0.000 0.000
S 0.500 0.500 0.500
F 0.000 0.500 0.500
F 0.500 0.000 0.500
F 0.500 0.500 0.000

excess energy over the best structure of this formula in the dataset	205	meV per atom
formation energy (no corrections)	-1.4339	eV per atom
space-group type	No. 221



Record 2
## RbS6F2 (PBE)

Data for an optimized crystal structure of RbS6F2.

Cell: 4.194 7.515 7.723 Å, 86.30 86.00 88.88°
Element x y z (fractional)
Rb 0.000 0.000 0.000
S 0.212 0.316 0.435
S 0.446 0.301 0.657
S 0.499 0.440 0.238
S 0.501 0.560 0.762
S 0.554 0.699 0.343
S 0.788 0.684 0.565
F 0.478 0.207 0.102
F 0.522 0.793 0.898

formation energy (no corrections)	-0.6710	eV per atom
space-group type	No. 2



Question: Among the records above, which one has the lowest formation energy (no corrections)?
Answer: RbSF3